Entry 1:
Computed, not measured: AcCuPS after structural relaxation at the GGA-PBE level of DFT.

The density comes out at 7.02 g/cm3. The value obtained for the raw formation energy is -968 meV per atom.

abc: 4.1698 4.1698 9.6186
angles: 90.00 90.00 90.00
Space group P4/nmm (No. 129, origin choice 2)
Symmetry-distinct sites (fractional):
Ac  0.2500  0.2500  0.2264 [2 per cell]
Cu  0.2500  0.7500  0.5000 [2 per cell]
P  0.2500  0.2500  0.6336 [2 per cell]
S  0.2500  0.7500  0.0000 [2 per cell]

Entry 2:
Computed, not measured: ZrMnSb2 after structural relaxation at the GGA-PBE level of DFT.

The density comes out at 7.23 g/cm3. The value obtained for the raw formation energy is -230 meV per atom.

abc: 3.8607 4.2214 5.8136
angles: 90.00 109.22 90.00
Space group Pm (No. 6)
Symmetry-distinct sites (fractional):
Zr  0.0000  0.0000  0.0000 [1 per cell]
Mn  0.1853  0.5000  0.3700 [1 per cell]
Sb  0.4337  0.5000  0.8676 [1 per cell]
Sb  0.7137  0.0000  0.4278 [1 per cell]

Entry 3:
Computed, not measured: MnCrRu2 after structural relaxation at the GGA-PBE level of DFT.

The density comes out at 9.76 g/cm3. The calculation puts the calculated formation energy at 0.142 eV per atom.

abc: 2.9500 4.2235 8.4402
angles: 90.00 90.00 90.00
Space group Imm2 (No. 44)
Symmetry-distinct sites (fractional):
Mn  0.0000  0.0000  0.0000 [2 per cell]
Cr  0.0000  0.5000  0.2814 [2 per cell]
Ru  0.0000  0.0000  0.5259 [2 per cell]
Ru  0.0000  0.5000  0.7519 [2 per cell]

Entry 4:
Computed, not measured: TlCuSe2 after structural relaxation at the GGA-PBE level of DFT.

The density comes out at 8.09 g/cm3. The value obtained for the raw formation energy is 129 meV per atom.

abc: 3.1410 3.1410 8.8576
angles: 90.00 90.00 90.00
Space group P4/mmm (No. 123)
Symmetry-distinct sites (fractional):
Tl  0.0000  0.0000  0.0000 [1 per cell]
Cu  0.0000  0.0000  0.5000 [1 per cell]
Se  0.5000  0.5000  0.3106 [2 per cell]

Sequential density of states at the Fermi level output: 2.938; 2.949; 8.724; 1.600 states/eV/cell